Record 1
A plane-wave DFT calculation with GGA-PBE was carried out for Pm2Nd8Hg after structural relaxation.

Cell and atoms, written as POSCAR:
```
Pm2Nd8Hg
1.0
5.229 0.000 0.000
-2.614 5.827 0.006
0.000 2.686 12.147
Nd Pm Hg
8 2 1
Direct
0.969 0.938 0.830 Nd
0.741 0.483 0.087 Nd
0.859 0.718 0.451 Nd
0.031 0.062 0.170 Nd
0.259 0.517 0.913 Nd
0.414 0.829 0.640 Nd
0.141 0.282 0.549 Nd
0.586 0.171 0.360 Nd
0.689 0.377 0.744 Pm
0.311 0.623 0.256 Pm
0.500 0.000 0.000 Hg
```

Energy of formation (eV per formula unit): -0.4
E_tot (eV per cell): -48.39
Space group: No. 12
Polymorph energy (0 for the lowest one) (eV/atom): 0.000
DOS(E_F) (states/eV/f.u.): 16.3



Record 2
A plane-wave DFT calculation with GGA-PBE was carried out for CsNbO3 after structural relaxation.

Cell and atoms, written as POSCAR:
```
CsNbO3
1.0
-0.697 -7.295 3.517
6.022 -2.899 2.246
2.935 -0.610 6.382
O Nb Cs
6 2 2
Direct
0.946 0.650 0.025 O
0.317 0.282 0.179 O
0.946 0.129 0.546 O
0.095 0.404 0.822 O
0.724 0.772 0.668 O
0.095 0.925 0.300 O
0.949 0.768 0.664 Nb
0.091 0.286 0.182 Nb
0.306 0.922 0.818 Cs
0.735 0.132 0.028 Cs
```

E_form (uncorrected) (kJ/mol of atoms): -234.1
E_tot (eV per cell): -75.86
Space group: No. 12
DOS(E_F) (states/eV/f.u.): 0.0



Record 3
A plane-wave DFT calculation with GGA-PBE was carried out for Mg5Zn2Ir after structural relaxation.

Cell and atoms, written as POSCAR:
```
Mg5Zn2Ir
1.0
-5.431 -3.224 2.779
-1.436 -2.854 -6.117
7.070 -1.855 3.098
Mg Zn Ir
10 4 2
Direct
0.671 0.171 0.687 Mg
0.016 0.516 0.687 Mg
0.171 0.016 0.687 Mg
0.984 0.484 0.313 Mg
0.516 0.671 0.687 Mg
0.000 0.000 0.000 Mg
0.500 0.500 0.000 Mg
0.829 0.984 0.313 Mg
0.329 0.829 0.313 Mg
0.484 0.329 0.313 Mg
0.626 0.126 0.000 Zn
0.126 0.374 0.000 Zn
0.374 0.874 0.000 Zn
0.874 0.626 0.000 Zn
0.250 0.250 0.500 Ir
0.750 0.750 0.500 Ir
```

Energy of formation (eV per formula unit): -1.1
E_tot (eV per cell): -40.88
Space group: No. 140
DOS(E_F) (states/eV/f.u.): 4.9



Q: Which value of E_tot does entry 2 give?
A: -75.86 eV per cell



Q: Which of these has the lowest DOS(E_F)?
A: CsNbO3



Q: Look up the DOS(E_F) of the first one.
A: 16.3 states/eV/f.u.



Q: Which value of DOS(E_F) does entry 1 give?
A: 16.3 states/eV/f.u.